The following is a DFT calculation (GGA-PBEsol) of a relaxed NaHgNO2 crystal.

Unit cell a=4.177 b=4.258 c=4.258 alpha=90.00 beta=90.00 gamma=90.00
Each line ends with the local moment (μB).
Element x y z (fractional)
1 Na 0.500 0.500 0.500  0.00
2 N 0.500 0.000 0.000  1.07
3 Hg 0.000 0.000 0.000  0.03
4 O 0.000 0.500 0.000  0.26
5 O 0.000 0.000 0.500  0.26

Energy relative to the elements, uncorrected in meV/atom: 669.6
Total magnetization in Bohr magnetons per cell: 2.19